No. 1
NbBi2S: relaxed, GGA-PBE.

Unit cell a=6.4144 b=6.4144 c=8.0420 alpha=66.50 beta=66.50 gamma=90.00
With the nearest neighbours (Å) after each atom.
Atoms (fractional coordinates):
S  0.2500  0.7500  0.5000  4 Bi 2.84
Nb  0.0000  0.0000  0.0000  4 Bi 2.78
Bi  0.3750  0.3664  0.7500  2 Nb 2.78, 2 S 2.84
Nb  0.7500  0.2500  0.5000  4 Bi 2.78
Bi  0.1164  0.6250  0.2500  2 Nb 2.78, 2 S 2.84
S  0.5000  0.5000  0.0000  4 Bi 2.84
Bi  0.8750  0.8836  0.7500  2 Nb 2.78, 2 S 2.84
Bi  0.6336  0.1250  0.2500  2 Nb 2.78, 2 S 2.84

Properties
- calculated volume (Å³ per atom) = 34.154
- ΔE_f (raw) (eV per atom) = 0.710
- total magnetization (μB/cell) = 1.89

---

No. 2
NbBiS4: relaxed, GGA-PBE.

Unit cell a=6.4300 b=6.4589 c=6.4714 alpha=90.00 beta=93.55 gamma=90.00
With the nearest neighbours (Å) after each atom.
Atoms (fractional coordinates):
S  0.6058  0.1218  0.8396  1 Nb 2.39
S  0.3942  0.8782  0.1604  1 Nb 2.39
S  0.1058  0.3782  0.8396  1 Nb 2.39
Bi  0.0000  0.0000  0.0000  6 S 2.76-2.97
S  0.8281  0.1601  0.3842  2 Nb 2.51-2.55
S  0.3281  0.3399  0.3842  2 Nb 2.51-2.55
Nb  0.5000  0.0000  0.5000  6 S 2.39-2.55
S  0.1719  0.8399  0.6158  2 Nb 2.51-2.55
S  0.6719  0.6601  0.6158  2 Nb 2.51-2.55
Nb  0.0000  0.5000  0.5000  6 S 2.39-2.55
Bi  0.5000  0.5000  0.0000  6 S 2.76-2.97
S  0.8942  0.6218  0.1604  1 Nb 2.39

Properties
- calculated volume (Å³ per atom) = 22.354
- ΔE_f (raw) (eV per atom) = -0.435
- total magnetization (μB/cell) = 0.00

---

No. 3
NbBi2S2: relaxed, GGA-PBE.

Unit cell a=7.7850 b=7.7850 c=4.2861 alpha=90.00 beta=90.00 gamma=90.00
With the nearest neighbours (Å) after each atom.
Atoms (fractional coordinates):
Bi  0.8481  0.6519  0.0000  2 S 2.70, 2 Nb 2.96
Bi  0.3481  0.8481  0.0000  2 S 2.70, 2 Nb 2.96
S  0.1985  0.6985  0.5000  2 Bi 2.70
Bi  0.1519  0.3481  0.0000  2 S 2.70, 2 Nb 2.96
Bi  0.6519  0.1519  0.0000  2 S 2.70, 2 Nb 2.96
Nb  0.5000  0.5000  0.0000  4 Bi 2.96
Nb  0.0000  0.0000  0.0000  4 Bi 2.96
S  0.3015  0.1985  0.5000  2 Bi 2.70
S  0.6985  0.8015  0.5000  2 Bi 2.70
S  0.8015  0.3015  0.5000  2 Bi 2.70

Properties
- calculated volume (Å³ per atom) = 25.976
- ΔE_f (raw) (eV per atom) = 0.480
- ΔE to the lowest computed polymorph (eV/atom) = 0.000
- total magnetization (μB/cell) = 4.51

---

No. 4
NbBi3S: relaxed, GGA-PBE.

Unit cell a=5.3102 b=5.3102 c=5.3102 alpha=90.00 beta=90.00 gamma=90.00
With the nearest neighbours (Å) after each atom.
Atoms (fractional coordinates):
Nb  0.5000  0.5000  0.5000  12 Bi 3.75
Bi  0.5000  0.0000  0.0000  2 S 2.66
Bi  0.0000  0.5000  0.0000  2 S 2.66
Bi  0.0000  0.0000  0.5000  2 S 2.66
S  0.0000  0.0000  0.0000  6 Bi 2.66

Properties
- calculated volume (Å³ per atom) = 29.947
- ΔE_f (raw) (eV per atom) = 0.850
- ΔE to the lowest computed polymorph (eV/atom) = 0.329
- total magnetization (μB/cell) = 2.65

---

No. 5
NbBiS2: relaxed, GGA-PBE.

Unit cell a=6.3549 b=6.3549 c=7.0137 alpha=63.06 beta=63.06 gamma=90.00
With the nearest neighbours (Å) after each atom.
Atoms (fractional coordinates):
S  0.5489  0.1250  0.2500  2 Nb 2.36
S  0.3750  0.4511  0.7500  2 Nb 2.36
S  0.8750  0.7989  0.7500  2 Nb 2.36
S  0.2011  0.6250  0.2500  2 Nb 2.36
Bi  0.0000  0.0000  0.0000  4 S 2.94
Nb  0.5000  0.5000  0.0000  4 S 2.36
Bi  0.7500  0.2500  0.5000  4 S 2.94
Nb  0.2500  0.7500  0.5000  4 S 2.36

Properties
- calculated volume (Å³ per atom) = 27.184
- ΔE_f (raw) (eV per atom) = -0.106
- total magnetization (μB/cell) = 0.00

---

No. 6
Nb2Bi2S7: relaxed, GGA-PBE.

Unit cell a=3.5955 b=8.6252 c=8.6252 alpha=63.54 beta=77.97 gamma=77.97
With the nearest neighbours (Å) after each atom.
Atoms (fractional coordinates):
Bi  0.6811  0.8896  0.7481  3 S 2.65-2.75
S  0.5000  0.9646  0.0354  2 Nb 2.67, 2 Bi 2.75
S  0.8266  0.0301  0.3168  2 Bi 2.65, 1 Nb 2.66
S  0.8867  0.4341  0.7926  2 Nb 2.53
S  0.3970  0.7233  0.4827  3 Nb 2.44-2.59
S  0.6030  0.5173  0.2767  3 Nb 2.44-2.59
Bi  0.3189  0.2519  0.1104  3 S 2.65-2.75
S  0.1133  0.2074  0.5659  2 Nb 2.53
Nb  0.5000  0.4053  0.5947  6 S 2.44-2.53
S  0.1734  0.6832  0.9699  2 Bi 2.65, 1 Nb 2.66
Nb  0.0000  0.7471  0.2529  8 S 2.59-2.67

Properties
- calculated volume (Å³ per atom) = 21.106
- ΔE_f (raw) (eV per atom) = -0.572
- total magnetization (μB/cell) = 0.00

---

No. 7
Nb3BiS: relaxed, GGA-PBE.

Unit cell a=5.2013 b=5.2013 c=5.2013 alpha=90.00 beta=90.00 gamma=90.00
With the nearest neighbours (Å) after each atom.
Atoms (fractional coordinates):
Bi  0.0000  0.0000  0.0000  6 Nb 2.60
Nb  0.0000  0.5000  0.0000  2 Bi 2.60
Nb  0.0000  0.0000  0.5000  2 Bi 2.60
Nb  0.5000  0.0000  0.0000  2 Bi 2.60
S  0.5000  0.5000  0.5000  12 Nb 3.68

Properties
- calculated volume (Å³ per atom) = 28.143
- ΔE_f (raw) (eV per atom) = 2.120
- ΔE to the lowest computed polymorph (eV/atom) = 2.024
- total magnetization (μB/cell) = 0.61

---

No. 8
NbBiS3: relaxed, GGA-PBE.

Unit cell a=5.1208 b=5.1208 c=5.1208 alpha=90.00 beta=90.00 gamma=90.00
With the nearest neighbours (Å) after each atom.
Atoms (fractional coordinates):
Nb  0.5000  0.5000  0.5000  12 S 3.62
Bi  0.0000  0.0000  0.0000  6 S 2.56
S  0.0000  0.5000  0.0000  2 Bi 2.56
S  0.5000  0.0000  0.0000  2 Bi 2.56
S  0.0000  0.0000  0.5000  2 Bi 2.56

Properties
- calculated volume (Å³ per atom) = 26.856
- ΔE_f (raw) (eV per atom) = 0.916
- ΔE to the lowest computed polymorph (eV/atom) = 1.506
- total magnetization (μB/cell) = 2.39

---

No. 9
NbBiS3: relaxed, GGA-PBE.

Unit cell a=4.8241 b=4.8241 c=4.8241 alpha=90.00 beta=90.00 gamma=90.00
With the nearest neighbours (Å) after each atom.
Atoms (fractional coordinates):
Bi  0.5000  0.5000  0.5000  12 S 3.41
Nb  0.0000  0.0000  0.0000  6 S 2.41
S  0.0000  0.5000  0.0000  2 Nb 2.41
S  0.5000  0.0000  0.0000  2 Nb 2.41
S  0.0000  0.0000  0.5000  2 Nb 2.41

Properties
- calculated volume (Å³ per atom) = 22.453
- ΔE_f (raw) (eV per atom) = -0.251
- ΔE to the lowest computed polymorph (eV/atom) = 0.338
- total magnetization (μB/cell) = 0.00

---

No. 10
NbBiSb2S: relaxed, GGA-PBE.

Unit cell a=5.7272 b=5.1144 c=5.7272 alpha=90.00 beta=90.00 gamma=90.00
With the nearest neighbours (Å) after each atom.
Atoms (fractional coordinates):
Nb  0.5000  0.5000  0.5000  8 Sb 3.84, 4 S 4.05
Sb  0.0000  0.0000  0.5000  2 Bi 2.86
Sb  0.5000  0.0000  0.0000  2 Bi 2.86
Bi  0.0000  0.0000  0.0000  2 S 2.56, 4 Sb 2.86
S  0.0000  0.5000  0.0000  2 Bi 2.56

Properties
- calculated volume (Å³ per atom) = 33.551
- ΔE_f (raw) (eV per atom) = 1.345
- total magnetization (μB/cell) = 2.17

---

No. 11
Nb2BiTeS: relaxed, GGA-PBE.

Unit cell a=4.7046 b=5.4654 c=4.7046 alpha=90.00 beta=90.00 gamma=90.00
With the nearest neighbours (Å) after each atom.
Atoms (fractional coordinates):
Nb  0.0000  0.0000  0.5000  2 S 2.35
Bi  0.0000  0.5000  0.0000  2 S 2.73
S  0.0000  0.0000  0.0000  4 Nb 2.35
Te  0.5000  0.5000  0.5000  4 Bi 3.33, 8 Nb 3.61
Nb  0.5000  0.0000  0.0000  2 S 2.35

Properties
- calculated volume (Å³ per atom) = 24.193
- ΔE_f (raw) (eV per atom) = 0.482
- total magnetization (μB/cell) = 0.00

---

No. 12
NbTl3Bi3S8: relaxed, GGA-PBE.

Unit cell a=8.0718 b=8.0894 c=8.8309 alpha=117.28 beta=89.98 gamma=120.03
With the nearest neighbours (Å) after each atom.
Atoms (fractional coordinates):
S  0.7377  0.4755  0.7134  3 Bi 2.83
S  0.2141  0.4283  0.6899  1 Nb 2.55, 2 Bi 2.83
Tl  0.0000  0.5000  0.0000  6 S 3.17-3.22
Tl  0.5000  0.5000  0.0000  6 S 3.17-3.22
S  0.2381  0.0241  0.3101  1 Nb 2.54, 2 Bi 2.83-2.84
Bi  0.5000  0.5000  0.5000  6 S 2.83-2.84
S  0.7619  0.9759  0.6899  1 Nb 2.54, 2 Bi 2.83-2.84
Bi  0.0000  0.5000  0.5000  6 S 2.83-2.84
S  0.2140  0.9757  0.6898  1 Nb 2.54, 2 Bi 2.83-2.84
S  0.7859  0.5717  0.3101  1 Nb 2.55, 2 Bi 2.83
S  0.2623  0.5245  0.2866  3 Bi 2.83
Bi  0.5000  0.0000  0.5000  6 S 2.83
Nb  0.0000  0.0000  0.5000  6 S 2.54-2.55
Tl  0.0000  0.0000  0.0000  6 S 3.17-3.22
S  0.7860  0.0243  0.3102  1 Nb 2.54, 2 Bi 2.83-2.84

Properties
- calculated volume (Å³ per atom) = 28.239
- ΔE_f (raw) (eV per atom) = -0.493
- total magnetization (μB/cell) = 0.99

---

> Which formula does entry 3 have?

NbBi2S2

---

> Which formula does entry 6 have?

Nb2Bi2S7